# RbAsIO2

A geometry-optimized RbAsIO2 structure (PBE, the Alexandria database).

- Excess energy over the best structure of this formula in the dataset: 0 meV/atom

a = 6.3648 Å, b = 16.6831 Å, c = 5.2433 Å
α = 90.00°, β = 90.00°, γ = 90.00°
With the nearest neighbours (Å) after each atom.
Space group Cmcm (No. 63)
Asymmetric unit:
Rb 0.0000 0.1097 0.2500  4 O 3.00
As 0.0000 0.4617 0.2500  4 O 1.89
I 0.0000 0.2667 0.7500  4 Rb 3.71-3.79
O 0.1883 0.5000 0.0000  2 As 1.89

# AsRhI2O

A geometry-optimized AsRhI2O structure (PBE, the Alexandria database).

- Excess energy over the best structure of this formula in the dataset: 177 meV/atom

a = 5.7052 Å, b = 5.7052 Å, c = 3.7481 Å
α = 90.00°, β = 90.00°, γ = 90.00°
With the nearest neighbours (Å) after each atom.
Space group P4/mmm (No. 123)
Asymmetric unit:
As 0.0000 0.0000 0.0000  2 O 1.87
Rh 0.5000 0.5000 0.5000  8 I 3.41, 2 Rh 3.75
I 0.0000 0.5000 0.0000  2 As 2.85
O 0.0000 0.0000 0.5000  2 As 1.87

# AsRhI2O

A geometry-optimized AsRhI2O structure (PBE, the Alexandria database).

- Excess energy over the best structure of this formula in the dataset: 0 meV/atom

a = 5.6071 Å, b = 5.6071 Å, c = 3.7327 Å
α = 90.00°, β = 90.00°, γ = 90.00°
With the nearest neighbours (Å) after each atom.
Space group P4/mmm (No. 123)
Asymmetric unit:
As 0.0000 0.0000 0.0000  8 I 3.37, 2 As 3.73
Rh 0.5000 0.5000 0.5000  2 O 1.87
I 0.0000 0.5000 0.5000  2 Rh 2.80
O 0.5000 0.5000 0.0000  2 Rh 1.87

# AsRuI2O

A geometry-optimized AsRuI2O structure (PBE, the Alexandria database).

- Excess energy over the best structure of this formula in the dataset: 402 meV/atom

a = 5.7462 Å, b = 5.7462 Å, c = 3.7566 Å
α = 90.00°, β = 90.00°, γ = 90.00°
With the nearest neighbours (Å) after each atom.
Space group P4/mmm (No. 123)
Asymmetric unit:
As 0.0000 0.0000 0.0000  2 O 1.88
Ru 0.5000 0.5000 0.5000  8 I 3.43, 2 Ru 3.76
I 0.0000 0.5000 0.0000  2 As 2.87
O 0.0000 0.0000 0.5000  2 As 1.88

# AsRuI2O

A geometry-optimized AsRuI2O structure (PBE, the Alexandria database).

- Excess energy over the best structure of this formula in the dataset: 0 meV/atom

a = 5.5241 Å, b = 5.5241 Å, c = 3.7341 Å
α = 90.00°, β = 90.00°, γ = 90.00°
With the nearest neighbours (Å) after each atom.
Space group P4/mmm (No. 123)
Asymmetric unit:
As 0.0000 0.0000 0.0000  8 I 3.33
Ru 0.5000 0.5000 0.5000  2 O 1.87
I 0.0000 0.5000 0.5000  2 Ru 2.76
O 0.5000 0.5000 0.0000  2 Ru 1.87

# AsSI2O

A geometry-optimized AsSI2O structure (PBE, the Alexandria database).

- Excess energy over the best structure of this formula in the dataset: 0 meV/atom

a = 5.7809 Å, b = 5.7809 Å, c = 3.7636 Å
α = 90.00°, β = 90.00°, γ = 90.00°
With the nearest neighbours (Å) after each atom.
Space group P4/mmm (No. 123)
Asymmetric unit:
As 0.0000 0.0000 0.0000  2 O 1.88
S 0.5000 0.5000 0.5000  8 I 3.45, 2 S 3.76
I 0.0000 0.5000 0.0000  2 As 2.89
O 0.0000 0.0000 0.5000  2 As 1.88

# AsSI2O

A geometry-optimized AsSI2O structure (PBE, the Alexandria database).

- Excess energy over the best structure of this formula in the dataset: 152 meV/atom

a = 5.6731 Å, b = 5.6731 Å, c = 3.5931 Å
α = 90.00°, β = 90.00°, γ = 90.00°
With the nearest neighbours (Å) after each atom.
Space group P4/mmm (No. 123)
Asymmetric unit:
As 0.0000 0.0000 0.0000  8 I 3.36, 2 As 3.59
S 0.5000 0.5000 0.5000  2 O 1.80
I 0.0000 0.5000 0.5000  2 S 2.84
O 0.5000 0.5000 0.0000  2 S 1.80

# AsSIO2

A geometry-optimized AsSIO2 structure (PBE, the Alexandria database).

a = 3.7933 Å, b = 3.7933 Å, c = 7.4374 Å
α = 90.00°, β = 90.00°, γ = 90.00°
With the nearest neighbours (Å) after each atom.
Space group P4/mmm (No. 123)
Asymmetric unit:
As 0.0000 0.0000 0.0000  4 I 2.68
S 0.5000 0.5000 0.5000  4 O 1.90
I 0.5000 0.5000 0.0000  4 As 2.68
O 0.0000 0.5000 0.5000  2 S 1.90

# AsSIO2

A geometry-optimized AsSIO2 structure (PBE, the Alexandria database).

a = 3.7962 Å, b = 3.7962 Å, c = 6.8857 Å
α = 90.00°, β = 90.00°, γ = 90.00°
With the nearest neighbours (Å) after each atom.
Space group P4/mmm (No. 123)
Asymmetric unit:
As 0.0000 0.0000 0.0000  4 O 1.90
S 0.5000 0.5000 0.5000  4 I 2.68
I 0.0000 0.0000 0.5000  4 S 2.68
O 0.0000 0.5000 0.0000  2 As 1.90

# Sb2AsIO

A geometry-optimized Sb2AsIO structure (PBE, the Alexandria database).

- Excess energy over the best structure of this formula in the dataset: 711 meV/atom

a = 5.4285 Å, b = 5.4285 Å, c = 5.4271 Å
α = 90.00°, β = 90.00°, γ = 90.00°
With the nearest neighbours (Å) after each atom.
Space group P4/mmm (No. 123)
Asymmetric unit:
Sb 0.0000 0.5000 0.0000  2 As 2.71
As 0.0000 0.0000 0.0000  2 I 2.71, 4 Sb 2.71
I 0.0000 0.0000 0.5000  2 As 2.71
O 0.5000 0.5000 0.5000  8 Sb 3.84, 4 I 3.84

# Sb2AsIO

A geometry-optimized Sb2AsIO structure (PBE, the Alexandria database).

- Excess energy over the best structure of this formula in the dataset: 0 meV/atom

a = 4.8222 Å, b = 4.8222 Å, c = 4.9919 Å
α = 90.00°, β = 90.00°, γ = 90.00°
With the nearest neighbours (Å) after each atom.
Space group P4/mmm (No. 123)
Asymmetric unit:
Sb 0.0000 0.5000 0.0000  2 O 2.41
As 0.0000 0.0000 0.5000  4 I 3.41, 8 Sb 3.47
I 0.5000 0.5000 0.5000  2 O 2.50
O 0.5000 0.5000 0.0000  4 Sb 2.41, 2 I 2.50

# ScAsIO2

A geometry-optimized ScAsIO2 structure (PBE, the Alexandria database).

a = 4.0665 Å, b = 4.0665 Å, c = 5.5321 Å
α = 90.00°, β = 90.00°, γ = 90.00°
With the nearest neighbours (Å) after each atom.
Space group P4/mmm (No. 123)
Asymmetric unit:
Sc 0.0000 0.0000 0.0000  4 I 2.88
As 0.5000 0.5000 0.5000  4 O 2.03
I 0.5000 0.5000 0.0000  2 As 2.77, 4 Sc 2.88
O 0.0000 0.5000 0.5000  2 As 2.03

no.,calculated volume (Å³/f.u.),calculated total energy (eV/atom)
1,139.2,-4.5097
2,122.0,-3.6512
3,117.4,-3.8278
4,124.0,-3.8426
5,114.0,-4.2451
6,125.8,-3.0530
7,115.6,-2.9013
8,107.0,-3.5534
9,99.2,-4.0762
10,159.9,-2.7978
11,116.1,-3.5087
12,91.5,-4.8672